A) The following is a PBE calculation of crystalline PmScRh at its relaxed geometry, from Alexandria via LeMat-Bulk.

abc: 6.702 5.877 9.611
angles: 90.00 125.86 90.00
Space group P2_1/c (No. 14)
Inequivalent atoms, fractional coordinates:
Pm 0.186 0.131 0.395 [4 per cell]
Sc 0.343 0.616 0.635 [4 per cell]
Rh 0.331 0.657 0.356 [4 per cell]

***

B) The following is a PBE calculation of crystalline PmScRh at its relaxed geometry, from Alexandria via LeMat-Bulk.

abc: 4.2952 4.2952 4.6402
angles: 90.00 90.00 120.00
Space group P3m1 (No. 156)
Inequivalent atoms, fractional coordinates:
Pm 0.0000 0.0000 0.0000 [1 per cell]
Sc 0.3333 0.6667 0.4941 [1 per cell]
Rh 0.6667 0.3333 0.6486 [1 per cell]

***

Verdict on stability: A) comes out on top.

***

A) The following is a PBE calculation of crystalline PmScRh at its relaxed geometry, from Alexandria via LeMat-Bulk.

abc: 3.366 3.366 12.240
angles: 90.00 90.00 90.00
Space group I4mm (No. 107)
Inequivalent atoms, fractional coordinates:
Pm 0.000 0.000 0.000 [2 per cell]
Sc 0.000 0.000 0.270 [2 per cell]
Rh 0.000 0.000 0.660 [2 per cell]

***

B) The following is a PBE calculation of crystalline PmScRh at its relaxed geometry, from Alexandria via LeMat-Bulk.

abc: 6.696 6.696 6.696
angles: 90.00 90.00 90.00
Space group F-43m (No. 216)
Inequivalent atoms, fractional coordinates:
Pm 0.000 0.000 0.000 [4 per cell]
Sc 0.000 0.000 0.500 [4 per cell]
Rh 0.250 0.250 0.750 [4 per cell]

***

Verdict on stability: A) comes out on top.

***

A) The following is a PBE calculation of crystalline PmScRh2 at its relaxed geometry, from Alexandria via LeMat-Bulk.

abc: 6.764 6.764 6.764
angles: 90.00 90.00 90.00
Space group Fm-3m (No. 225)
Inequivalent atoms, fractional coordinates:
Pm 0.000 0.000 0.000 [4 per cell]
Sc 0.000 0.000 0.500 [4 per cell]
Rh 0.250 0.250 0.250 [8 per cell]

***

B) The following is a PBE calculation of crystalline PmScRh2 at its relaxed geometry, from Alexandria via LeMat-Bulk.

abc: 3.304 3.304 7.036
angles: 90.00 90.00 90.00
Space group P4/mmm (No. 123)
Inequivalent atoms, fractional coordinates:
Pm 0.000 0.000 0.000 [1 per cell]
Sc 0.000 0.000 0.500 [1 per cell]
Rh 0.500 0.500 0.277 [2 per cell]

***

Verdict on stability: B) comes out on top.

***

A) The following is a PBE calculation of crystalline Pm2RhSe at its relaxed geometry, from Alexandria via LeMat-Bulk.

abc: 4.019 23.054 4.283
angles: 90.00 90.00 90.00
Space group Cmcm (No. 63)
Inequivalent atoms, fractional coordinates:
Pm 0.000 0.062 0.250 [4 per cell]
Pm 0.000 0.326 0.250 [4 per cell]
Rh 0.000 0.455 0.250 [4 per cell]
Se 0.000 0.192 0.250 [4 per cell]

***

B) The following is a PBE calculation of crystalline Pm2RhSe at its relaxed geometry, from Alexandria via LeMat-Bulk.

abc: 4.0552 4.0552 22.0862
angles: 90.00 90.00 120.00
Space group R3m (No. 160, hexagonal axes)
Inequivalent atoms, fractional coordinates:
Pm 0.0000 0.0000 0.0000 [3 per cell]
Pm 0.0000 0.0000 0.1838 [3 per cell]
Rh 0.0000 0.0000 0.5914 [3 per cell]
Se 0.0000 0.0000 0.4250 [3 per cell]

***

Verdict on stability: A) comes out on top.

***

A) The following is a PBE calculation of crystalline PmSi3Rh2 at its relaxed geometry, from Alexandria via LeMat-Bulk.

abc: 9.512 7.570 5.511
angles: 90.00 90.00 90.00
Space group Cmcm (No. 63)
Inequivalent atoms, fractional coordinates:
Pm 0.000 0.168 0.250 [4 per cell]
Si 0.000 0.445 0.750 [4 per cell]
Si 0.166 0.208 0.750 [8 per cell]
Rh 0.208 0.500 0.000 [8 per cell]

***

B) The following is a PBE calculation of crystalline PmSi3Rh2 at its relaxed geometry, from Alexandria via LeMat-Bulk.

abc: 15.878 3.995 9.638
angles: 90.00 104.08 90.00
Space group C2/m (No. 12)
Inequivalent atoms, fractional coordinates:
Pm 0.000 0.000 0.000 [2 per cell]
Pm 0.149 0.000 0.701 [4 per cell]
Si 0.000 0.500 0.500 [2 per cell]
Si 0.055 0.000 0.373 [4 per cell]
Si 0.140 0.500 0.181 [4 per cell]
Si 0.141 0.500 0.931 [4 per cell]
Si 0.221 0.000 0.348 [4 per cell]
Rh 0.003 0.500 0.756 [4 per cell]
Rh 0.156 0.500 0.442 [4 per cell]
Rh 0.209 0.000 0.083 [4 per cell]

***

Verdict on stability: B) comes out on top.

***

A) The following is a PBE calculation of crystalline Pm3Si8Rh3 at its relaxed geometry, from Alexandria via LeMat-Bulk.

abc: 4.212 9.650 11.758
angles: 90.00 90.00 90.00
Space group Immm (No. 71)
Inequivalent atoms, fractional coordinates:
Pm 0.000 0.000 0.000 [2 per cell]
Pm 0.000 0.000 0.310 [4 per cell]
Si 0.000 0.288 0.125 [8 per cell]
Si 0.000 0.367 0.334 [8 per cell]
Rh 0.000 0.223 0.500 [4 per cell]
Rh 0.000 0.500 0.000 [2 per cell]

***

B) The following is a PBE calculation of crystalline Pm3Si8Rh3 at its relaxed geometry, from Alexandria via LeMat-Bulk.

abc: 4.268 8.154 8.490
angles: 116.15 91.48 104.60
Space group P1 (No. 1)
Inequivalent atoms, fractional coordinates:
Pm 0.000 0.000 0.000 [1 per cell]
Pm 0.279 0.568 0.339 [1 per cell]
Pm 0.577 0.138 0.654 [1 per cell]
Si 0.129 0.230 0.433 [1 per cell]
Si 0.163 0.355 0.934 [1 per cell]
Si 0.400 0.805 0.729 [1 per cell]
Si 0.452 0.931 0.242 [1 per cell]
Si 0.654 0.314 0.058 [1 per cell]
Si 0.667 0.611 0.042 [1 per cell]
Si 0.802 0.525 0.608 [1 per cell]
Si 0.920 0.832 0.588 [1 per cell]
Rh 0.311 0.512 0.746 [1 per cell]
Rh 0.637 0.259 0.311 [1 per cell]
Rh 0.932 0.875 0.326 [1 per cell]

***

Verdict on stability: B) comes out on top.

***

A) The following is a PBE calculation of crystalline Pm2Si3Rh2 at its relaxed geometry, from Alexandria via LeMat-Bulk.

abc: 4.189 17.855 6.938
angles: 90.00 90.00 90.00
Space group Cmcm (No. 63)
Inequivalent atoms, fractional coordinates:
Pm 0.000 0.056 0.250 [4 per cell]
Pm 0.000 0.157 0.750 [4 per cell]
Si 0.000 0.223 0.250 [4 per cell]
Si 0.000 0.439 0.072 [8 per cell]
Rh 0.000 0.308 0.548 [8 per cell]

***

B) The following is a PBE calculation of crystalline Pm2Si3Rh2 at its relaxed geometry, from Alexandria via LeMat-Bulk.

abc: 10.716 4.063 6.896
angles: 90.00 119.11 90.00
Space group C2/m (No. 12)
Inequivalent atoms, fractional coordinates:
Pm 0.142 0.000 0.267 [4 per cell]
Si 0.000 0.500 0.500 [2 per cell]
Si 0.139 0.500 0.934 [4 per cell]
Rh 0.133 0.000 0.722 [4 per cell]

***

Verdict on stability: A) comes out on top.

***

A) The following is a PBE calculation of crystalline TbPmSiRh at its relaxed geometry, from Alexandria via LeMat-Bulk.

abc: 4.087 4.223 10.575
angles: 90.00 90.00 90.00
Space group Amm2 (No. 38)
Inequivalent atoms, fractional coordinates:
Tb 0.000 0.000 0.000 [2 per cell]
Pm 0.500 0.000 0.718 [2 per cell]
Si 0.000 0.000 0.296 [2 per cell]
Rh 0.500 0.000 0.437 [2 per cell]

***

B) The following is a PBE calculation of crystalline TbPmSiRh at its relaxed geometry, from Alexandria via LeMat-Bulk.

abc: 7.072 7.072 7.072
angles: 90.00 90.00 90.00
Space group F-43m (No. 216)
Inequivalent atoms, fractional coordinates:
Tb 0.000 0.000 0.000 [4 per cell]
Pm 0.000 0.000 0.500 [4 per cell]
Si 0.250 0.250 0.750 [4 per cell]
Rh 0.250 0.250 0.250 [4 per cell]

***

Verdict on stability: A) comes out on top.

***

A) The following is a PBE calculation of crystalline PmTmSiRh at its relaxed geometry, from Alexandria via LeMat-Bulk.

abc: 4.040 4.193 10.543
angles: 90.00 90.00 90.00
Space group Amm2 (No. 38)
Inequivalent atoms, fractional coordinates:
Pm 0.000 0.000 0.000 [2 per cell]
Tm 0.500 0.000 0.282 [2 per cell]
Si 0.500 0.000 0.581 [2 per cell]
Rh 0.000 0.000 0.722 [2 per cell]

***

B) The following is a PBE calculation of crystalline PmTmSiRh at its relaxed geometry, from Alexandria via LeMat-Bulk.

abc: 7.006 7.006 7.006
angles: 90.00 90.00 90.00
Space group F-43m (No. 216)
Inequivalent atoms, fractional coordinates:
Pm 0.000 0.000 0.000 [4 per cell]
Tm 0.000 0.000 0.500 [4 per cell]
Si 0.250 0.250 0.250 [4 per cell]
Rh 0.250 0.250 0.750 [4 per cell]

***

Verdict on stability: A) comes out on top.

***

A) The following is a PBE calculation of crystalline PmYSiRh at its relaxed geometry, from Alexandria via LeMat-Bulk.

abc: 4.122 4.243 10.446
angles: 90.00 90.00 90.00
Space group Amm2 (No. 38)
Inequivalent atoms, fractional coordinates:
Pm 0.000 0.000 0.000 [2 per cell]
Y 0.500 0.000 0.282 [2 per cell]
Si 0.500 0.000 0.579 [2 per cell]
Rh 0.000 0.000 0.718 [2 per cell]

***

B) The following is a PBE calculation of crystalline PmYSiRh at its relaxed geometry, from Alexandria via LeMat-Bulk.

abc: 7.063 7.063 7.063
angles: 90.00 90.00 90.00
Space group F-43m (No. 216)
Inequivalent atoms, fractional coordinates:
Pm 0.000 0.000 0.000 [4 per cell]
Y 0.000 0.000 0.500 [4 per cell]
Si 0.250 0.250 0.750 [4 per cell]
Rh 0.250 0.250 0.250 [4 per cell]

***

Verdict on stability: A) comes out on top.

***

A) The following is a PBE calculation of crystalline Pm4SmRh2 at its relaxed geometry, from Alexandria via LeMat-Bulk.

abc: 8.000 6.574 8.068
angles: 90.00 113.59 90.00
Space group P2_1/m (No. 11)
Inequivalent atoms, fractional coordinates:
Pm 0.016 0.250 0.381 [2 per cell]
Pm 0.252 0.750 0.339 [2 per cell]
Pm 0.411 0.005 0.765 [4 per cell]
Sm 0.154 0.250 0.029 [2 per cell]
Rh 0.241 0.750 0.991 [2 per cell]
Rh 0.369 0.250 0.405 [2 per cell]

***

B) The following is a PBE calculation of crystalline Pm4SmRh2 at its relaxed geometry, from Alexandria via LeMat-Bulk.

abc: 4.0723 4.0723 45.0881
angles: 90.00 90.00 120.00
Space group R-3m (No. 166, hexagonal axes)
Inequivalent atoms, fractional coordinates:
Pm 0.0000 0.0000 0.1023 [6 per cell]
Pm 0.0000 0.0000 0.2995 [6 per cell]
Sm 0.0000 0.0000 0.5000 [3 per cell]
Rh 0.0000 0.0000 0.4010 [6 per cell]

***

Verdict on stability: A) comes out on top.

***

A) The following is a PBE calculation of crystalline Pm2Sm2Rh3 at its relaxed geometry, from Alexandria via LeMat-Bulk.

abc: 4.167 6.912 7.032
angles: 99.20 90.06 107.51
Space group P-1 (No. 2)
Inequivalent atoms, fractional coordinates:
Pm 0.135 0.267 0.363 [2 per cell]
Sm 0.374 0.747 0.109 [2 per cell]
Rh 0.000 0.000 0.000 [1 per cell]
Rh 0.238 0.479 0.744 [2 per cell]

***

B) The following is a PBE calculation of crystalline Pm2Sm2Rh3 at its relaxed geometry, from Alexandria via LeMat-Bulk.

abc: 8.784 8.784 8.784
angles: 90.00 90.00 90.00
Space group I2_13 (No. 199)
Inequivalent atoms, fractional coordinates:
Pm 0.061 0.061 0.061 [8 per cell]
Sm 0.190 0.310 0.690 [8 per cell]
Rh 0.000 0.250 0.381 [12 per cell]

***

Verdict on stability: B) comes out on top.